(1)
A geometry-optimized NaTl2In3I6 structure. Source: Alexandria, functional PBE.

abc: 11.008 11.008 9.895
angles: 102.72 102.72 25.83
Fractional positions:
1 Na 0.000 0.000 0.000
2 Tl 0.336 0.336 0.669
3 Tl 0.664 0.664 0.331
4 In 0.000 0.000 0.500
5 In 0.334 0.334 0.163
6 In 0.666 0.666 0.837
7 I 0.156 0.156 0.076
8 I 0.165 0.165 0.586
9 I 0.497 0.497 0.234
10 I 0.503 0.503 0.766
11 I 0.835 0.835 0.414
12 I 0.844 0.844 0.924

Properties
The calculation puts the uncorrected formation energy at -652.2 meV/atom. Its space group is C2/m (12).

=====

(2)
A geometry-optimized TaTl2V structure. Source: Alexandria, functional PBE.

abc: 7.628 7.628 5.856
angles: 90.00 90.00 90.00
Fractional positions:
1 Ta 0.000 0.000 0.000
2 Ta 0.000 0.500 0.250
3 Ta 0.500 0.000 0.750
4 Ta 0.500 0.500 0.500
5 Tl 0.237 0.250 0.625
6 Tl 0.250 0.737 0.875
7 Tl 0.250 0.763 0.375
8 Tl 0.263 0.250 0.125
9 Tl 0.737 0.750 0.125
10 Tl 0.750 0.237 0.375
11 Tl 0.750 0.263 0.875
12 Tl 0.763 0.750 0.625
13 V 0.000 0.000 0.500
14 V 0.000 0.500 0.750
15 V 0.500 0.000 0.250
16 V 0.500 0.500 0.000

Properties
Its space group is I-42d (122). The calculation puts the formation energy at 0.974 eV/atom.